{
  "formula": "Cr2NiPtSe",
  "functional": "PBE",
  "state": "relaxed",
  "lattice": [[-3.0606, -3.7673, 0.3565], [1.6419, -1.7048, -3.9188], [3.3575, -2.4920, 2.4908]],
  "species": ["Cr", "Cr", "Pt", "Se", "Ni"],
  "frac_coords": [[0.5000, 0.0000, 0.0000], [0.0000, 0.0000, 0.5000], [0.0000, 0.0000, 0.0000], [0.5000, 0.5000, 0.5000], [0.0000, 0.5000, 0.0000]],
  "spacegroup": "No. 123",
  "volume_a3_per_atom": 21.69,
  "dos_at_fermi_per_ev_cell": 10.3,
  "raw_formation_energy_mev_per_atom": 939.4,
  "energy_ev_per_cell": -29.9
}


{
  "formula": "KLaGa2C",
  "functional": "PBE",
  "state": "relaxed",
  "lattice": [[5.1378, 0.0000, 0.0000], [0.0000, 5.3071, 0.0000], [0.0000, 0.0000, 5.1378]],
  "species": ["Ga", "Ga", "La", "K", "C"],
  "frac_coords": [[0.0000, 0.0000, 0.5000], [0.5000, 0.0000, 0.0000], [0.0000, 0.5000, 0.0000], [0.5000, 0.5000, 0.5000], [0.0000, 0.0000, 0.0000]],
  "spacegroup": "No. 123",
  "volume_a3_per_atom": 28.02,
  "dos_at_fermi_per_ev_cell": 3.0,
  "e_form_ev_per_fu": 2.86,
  "energy_ev_per_cell": -18.4
}